Entry 1:
DFT (PBE) results for crystalline Y2ScSe at its relaxed geometry.

Formation energy (no corrections)   -247 kJ/mol of formula units
VASP energy   -50.604 eV for the cell shown
Space-group type   No. 35

Cell and atoms, written as extended XYZ:
```
8
Lattice="4.036 0.000 0.000 0.000 5.791 0.000 0.000 0.000 9.292" Properties=species:S:1:pos:R:3 pbc="T T T"
Y 0.000 0.000 0.000
Y 0.000 2.896 2.841
Y 2.018 0.000 2.841
Y 2.018 2.896 0.000
Sc 0.000 0.000 5.500
Sc 2.018 2.896 5.500
Se 0.000 2.896 7.276
Se 2.018 0.000 7.276
```



Entry 2:
DFT (PBE) results for crystalline Y2ScSe at its relaxed geometry.

Formation energy (no corrections)   -300 kJ/mol of formula units
VASP energy   -77.569 eV for the cell shown
Space-group type   No. 160

Cell and atoms, written as extended XYZ:
```
12
Lattice="3.755 0.000 0.000 -1.878 3.252 0.000 0.000 0.000 27.245" Properties=species:S:1:pos:R:3 pbc="T T T"
Y 0.000 0.000 0.000
Y 0.000 0.000 5.328
Y 0.000 2.168 18.163
Y 0.000 2.168 23.491
Y 1.878 1.084 9.082
Y 1.878 1.084 14.409
Sc 0.000 0.000 20.842
Sc 0.000 2.168 11.761
Sc 1.878 1.084 2.679
Se 0.000 0.000 16.286
Se 0.000 2.168 7.205
Se 1.878 1.084 25.368
```



Entry 3:
DFT (PBE) results for crystalline YScSe at its relaxed geometry.

Formation energy (no corrections)   -311 kJ/mol of formula units
VASP energy   -78.030 eV for the cell shown
Space-group type   No. 12
Excess energy over the best structure of this formula in the dataset   0 meV per atom

Cell and atoms, written as extended XYZ:
```
12
Lattice="10.916 0.000 0.000 0.000 3.825 0.000 -1.458 0.000 7.108" Properties=species:S:1:pos:R:3 pbc="T T T"
Y 0.683 0.000 2.270
Y 3.317 1.913 4.838
Y 6.141 1.913 2.270
Y 8.775 0.000 4.838
Sc 0.002 1.913 6.705
Sc 3.997 0.000 0.403
Sc 5.460 0.000 6.705
Sc 9.455 1.913 0.403
Se 1.092 0.000 5.112
Se 2.907 1.913 1.996
Se 6.550 1.913 5.112
Se 8.365 0.000 1.996
```



Entry 4:
DFT (PBE) results for crystalline Y4ScSe7 at its relaxed geometry.

Formation energy (no corrections)   -2127 kJ/mol of formula units
VASP energy   -78.623 eV for the cell shown
Space-group type   No. 8

Cell and atoms, written as extended XYZ:
```
12
Lattice="6.609 -1.971 0.000 6.609 1.971 0.000 -3.041 0.000 11.703" Properties=species:S:1:pos:R:3 pbc="T T T"
Y 0.000 0.000 0.000
Y 0.175 0.000 8.928
Y 6.606 0.000 4.402
Y 9.997 0.000 6.648
Sc 9.800 0.000 1.730
Se 1.389 0.000 2.550
Se 1.403 0.000 6.081
Se 4.821 0.000 0.894
Se 5.351 0.000 7.274
Se 5.533 0.000 10.889
Se 8.845 0.000 9.214
Se 11.139 0.000 4.075
```



Entry 5:
DFT (PBE) results for crystalline Y2ScSe at its relaxed geometry.

Formation energy (no corrections)   -139 kJ/mol of formula units
VASP energy   -24.181 eV for the cell shown
Space-group type   No. 47

Cell and atoms, written as extended XYZ:
```
4
Lattice="3.700 0.000 0.000 0.000 4.972 0.000 0.000 0.000 5.582" Properties=species:S:1:pos:R:3 pbc="T T T"
Y 0.000 0.000 0.000
Y 1.850 0.000 2.791
Sc 0.000 2.486 2.791
Se 1.850 2.486 0.000
```



Entry 6:
DFT (PBE) results for crystalline Y2ScSe at its relaxed geometry.

Formation energy (no corrections)   -153 kJ/mol of formula units
VASP energy   -24.328 eV for the cell shown
Space-group type   No. 10

Cell and atoms, written as extended XYZ:
```
4
Lattice="5.277 0.000 0.000 0.000 3.612 0.000 -2.339 0.000 5.460" Properties=species:S:1:pos:R:3 pbc="T T T"
Y 0.000 0.000 0.000
Y -1.169 1.806 2.730
Sc 1.469 0.000 2.730
Se 2.638 1.806 0.000
```



What is the VASP energy in the third record? -78.030 eV for the cell shown



Which of these has the lowest formation energy (no corrections)? Y4ScSe7